# 1
10
Lattice="-3.045 -1.967 -0.573 5.722 -7.626 -4.135 -2.043 -2.891 9.036" Properties=species:S:1:pos:R:3 comment="Pm4Pr5Ho GGA-PBE optimized geometry" dos_at_fermi_per_ev_atom=1.53 e_tot_ev_per_atom=-4.73 e_form_ev_per_atom=0.0151 space_group="No. 2" total_magnetization_mub_per_cell=0.00 pbc="T T T"
Pm -1.159 -2.508 3.019
Pm -1.459 -4.599 0.059
Pm 1.792 -9.975 1.309
Pm 2.092 -7.883 4.269
Pr 1.701 -6.320 0.963
Pr 1.449 -8.474 -2.051
Pr -0.815 -4.008 6.379
Pr 1.338 -4.796 -2.354
Pr -1.068 -6.162 3.365
Ho -1.523 -0.983 -0.286

# 2
16
Lattice="-2.658 -8.359 -1.974 -0.877 -1.792 8.768 -4.277 7.044 -3.594" Properties=species:S:1:pos:R:3 comment="La4Sm3TmTe8 GGA-PBE optimized geometry" dos_at_fermi_per_ev_atom=0.77 e_tot_ev_per_atom=-5.43 formation_energy_uncorrected_ev_per_atom=-1.46 space_group="No. 166" total_magnetization_mub_per_cell=0.00 pbc="T T T"
La -1.329 -4.180 -0.987
La -3.467 -0.658 -2.784
La 0.000 0.000 0.000
La -2.138 3.522 -1.797
Sm -1.767 -5.076 3.397
Sm -3.905 -1.554 1.600
Sm -2.577 2.626 2.587
Tm -0.438 -0.896 4.384
Te -5.540 3.656 2.404
Te -3.362 0.068 4.235
Te -3.064 0.985 -0.046
Te -6.893 -0.602 1.398
Te -0.917 -2.506 1.801
Te -4.747 -4.093 3.245
Te -4.449 -3.176 -1.036
Te -2.271 -6.764 0.795

# 3
5
Lattice="-0.146 2.827 -3.033 -3.286 -1.928 -1.642 -0.932 2.004 4.753" Properties=species:S:1:pos:R:3 comment="TbBe2Rh2 GGA-PBE optimized geometry" dos_at_fermi_per_ev_atom=0.40 e_tot_ev_per_atom=-6.03 e_form_ev_per_atom=-0.6722 space_group="No. 139" total_magnetization_mub_per_cell=0.00 pbc="T T T"
Tb 0.000 0.000 0.000
Be -1.888 1.750 1.723
Be -2.476 1.153 -1.645
Rh -1.397 2.641 -0.309
Rh -2.967 0.263 0.387